TaTlSe3 after structural relaxation, computed with PBE.

Calculated values
**Total magnetic moment**: 0.00 μB/f.u.
**Volume**: 896 Å³/cell
**Uncorrected formation energy**: -0.559 eV/atom
**Offset from the most stable computed form**: 80 meV per atom

Lattice parameters (Å, degrees): 6.8903 6.8903 21.7879 90.00 90.00 120.00
Space group R32 (No. 155, hexagonal axes)
Unique sites:
Ta (0.0000, 0.0000, 0.1538) x6
Tl (0.0000, 0.0000, 0.3752) x6
Se (0.0131, 0.4556, 0.4250) x18


EuY2Tm after structural relaxation, computed with PBE.

Calculated values
**Total magnetic moment**: 7.20 μB/f.u.
**Volume**: 132 Å³/cell
**Offset from the most stable computed form**: 41 meV per atom

Lattice parameters (Å, degrees): 5.091 5.091 5.097 90.00 90.00 90.00
Space group P4/mmm (No. 123)
Unique sites:
Eu (0.000, 0.000, 0.000) x1
Y (0.000, 0.500, 0.500) x2
Tm (0.500, 0.500, 0.000) x1


BeCu2As after structural relaxation, computed with PBE.

Calculated values
**Total magnetic moment**: 0.00 μB/f.u.
**Volume**: 107 Å³/cell
**Offset from the most stable computed form**: 57 meV per atom

Lattice parameters (Å, degrees): 7.998 2.886 4.649 90.00 93.38 90.00
Space group Cm (No. 8)
Unique sites:
Be (0.000, 0.000, 0.000) x2
Cu (0.042, 0.500, 0.620) x2
Cu (0.270, 0.000, 0.881) x2
As (0.309, 0.500, 0.352) x2